Record 1
Compound: V3Pb2O9
Source: the Alexandria database
Functional: PBE+U
Structure: optimized geometry

Summary:
**N(E_F)**: 0.00 states/eV per cell
**Relative energy among the computed polymorphs**: 0.0020 eV/atom
**Symmetry**: Cc, No. 9

Lattice parameters (Å, degrees): 9.1828 9.1828 7.1945 102.17 102.17 129.90
Fractional positions:
V: 0.0799 0.9201 0.5000
V: 0.3513 0.6741 0.0113
V: 0.4790 0.9705 0.7228
V: 0.6741 0.3513 0.5113
V: 0.9201 0.0799 0.0000
V: 0.9705 0.4790 0.2228
Pb: 0.1730 0.9327 0.0166
Pb: 0.4945 0.5961 0.4847
Pb: 0.5961 0.4945 0.9847
Pb: 0.9327 0.1730 0.5166
O: 0.0024 0.2835 0.2340
O: 0.1252 0.5653 0.0458
O: 0.1403 0.1738 0.9701
O: 0.1738 0.1403 0.4701
O: 0.2835 0.0024 0.7340
O: 0.2919 0.7218 0.5070
O: 0.2993 0.4938 0.7928
O: 0.4405 0.8929 0.9640
O: 0.4938 0.2993 0.2928
O: 0.5386 0.7395 0.2361
O: 0.5653 0.1252 0.5458
O: 0.7208 0.9967 0.7622
O: 0.7218 0.2919 0.0070
O: 0.7395 0.5386 0.7361
O: 0.8203 0.8618 0.0370
O: 0.8618 0.8203 0.5370
O: 0.8929 0.4405 0.4640
O: 0.9967 0.7208 0.2622

=====

Record 2
Compound: V3Pb2O8
Source: the Alexandria database
Functional: PBE+U
Structure: optimized geometry

Summary:
**Symmetry**: C2/m, No. 12
**E_tot**: -7.103 eV/atom

Lattice parameters (Å, degrees): 6.9383 6.9383 5.0614 108.33 108.33 53.19
Fractional positions:
V: 0.0000 0.0000 0.0000
V: 0.2614 0.7386 0.5000
V: 0.7386 0.2614 0.5000
Pb: 0.2949 0.2949 0.8337
Pb: 0.7051 0.7051 0.1663
O: 0.0876 0.0876 0.3900
O: 0.1339 0.6847 0.1145
O: 0.3153 0.8661 0.8855
O: 0.4039 0.4039 0.5365
O: 0.5961 0.5961 0.4635
O: 0.6847 0.1339 0.1145
O: 0.8661 0.3153 0.8855
O: 0.9124 0.9124 0.6100

=====

Record 3
Compound: V3Pb2O9
Source: the Alexandria database
Functional: PBE+U
Structure: optimized geometry

Summary:
**Relative energy among the computed polymorphs**: 0.0000 eV/atom
**Symmetry**: P-1, No. 2

Lattice parameters (Å, degrees): 7.5282 9.1165 12.7017 70.19 87.31 77.93
Fractional positions:
V: 0.0830 0.4836 0.1781
V: 0.1993 0.6349 0.5445
V: 0.2179 0.7570 0.2516
V: 0.2770 0.2564 0.7520
V: 0.3024 0.8652 0.9548
V: 0.4124 0.0154 0.3229
V: 0.5876 0.9846 0.6771
V: 0.6976 0.1348 0.0452
V: 0.7230 0.7436 0.2480
V: 0.7821 0.2430 0.7484
V: 0.8007 0.3651 0.4555
V: 0.9170 0.5164 0.8219
Pb: 0.0901 0.9293 0.6659
Pb: 0.1785 0.2171 0.0445
Pb: 0.3166 0.2816 0.4566
Pb: 0.4290 0.5611 0.8325
Pb: 0.5710 0.4389 0.1675
Pb: 0.6834 0.7184 0.5434
Pb: 0.8215 0.7829 0.9555
Pb: 0.9099 0.0707 0.3341
O: 0.0115 0.2013 0.7305
O: 0.0131 0.2425 0.4763
O: 0.0573 0.2932 0.2409
O: 0.1381 0.3877 0.8402
O: 0.1752 0.4922 0.0514
O: 0.1926 0.8108 0.8597
O: 0.1959 0.4301 0.6029
O: 0.1962 0.8306 0.0839
O: 0.2397 0.5294 0.2585
O: 0.2599 0.9720 0.2394
O: 0.3014 0.6705 0.4145
O: 0.3020 0.0709 0.8963
O: 0.3133 0.6864 0.6402
O: 0.3230 0.0045 0.4508
O: 0.3658 0.1131 0.6607
O: 0.4401 0.2057 0.2617
O: 0.4816 0.3035 0.7652
O: 0.4834 0.2544 0.0230
O: 0.5166 0.7456 0.9770
O: 0.5184 0.6965 0.2348
O: 0.5599 0.7943 0.7383
O: 0.6342 0.8869 0.3393
O: 0.6770 0.9955 0.5492
O: 0.6867 0.3136 0.3598
O: 0.6980 0.9291 0.1037
O: 0.6986 0.3295 0.5855
O: 0.7401 0.0280 0.7606
O: 0.7603 0.4706 0.7415
O: 0.8038 0.1694 0.9161
O: 0.8041 0.5699 0.3971
O: 0.8074 0.1892 0.1403
O: 0.8248 0.5078 0.9486
O: 0.8619 0.6123 0.1598
O: 0.9427 0.7068 0.7591
O: 0.9869 0.7575 0.5237
O: 0.9885 0.7988 0.2695

=====

Record 4
Compound: V2PbO7
Source: the Alexandria database
Functional: PBE+U
Structure: optimized geometry

Summary:
**N(E_F)**: 2.60 states/eV per cell
**Symmetry**: Cmmm, No. 65
**E_tot**: -6.590 eV/atom

Lattice parameters (Å, degrees): 5.8888 5.8888 3.6463 90.00 90.00 117.51
Fractional positions:
V: 0.1961 0.8039 0.0000
V: 0.8039 0.1961 0.0000
Pb: 0.5000 0.5000 0.5000
O: 0.0000 0.0000 0.0000
O: 0.1704 0.4458 0.0000
O: 0.2053 0.7947 0.5000
O: 0.4458 0.1704 0.0000
O: 0.5542 0.8296 0.0000
O: 0.7947 0.2053 0.5000
O: 0.8296 0.5542 0.0000

=====

Record 5
Compound: VPb2O4
Source: the Alexandria database
Functional: PBE+U
Structure: optimized geometry

Summary:
**Relative energy among the computed polymorphs**: 0.0000 eV/atom
**Symmetry**: Cm, No. 8

Lattice parameters (Å, degrees): 6.0913 6.0913 6.0369 118.78 118.78 87.05
Fractional positions:
V: 0.0000 0.0000 0.0000
Pb: 0.2745 0.8497 0.5701
Pb: 0.8497 0.2745 0.5701
O: 0.0670 0.6858 0.8668
O: 0.1273 0.1273 0.3962
O: 0.1461 0.1461 0.8794
O: 0.6858 0.0670 0.8668

=====

Record 6
Compound: V6PbO11
Source: the Alexandria database
Functional: PBE+U
Structure: optimized geometry

Summary:
**N(E_F)**: 9.58 states/eV per cell
**Symmetry**: P6_3mc, No. 186
**E_tot**: -7.655 eV/atom

Lattice parameters (Å, degrees): 5.9150 5.9150 13.5383 90.00 90.00 120.00
Fractional positions:
V: 0.0000 0.0000 0.0000
V: 0.0000 0.0000 0.2068
V: 0.0000 0.0000 0.5000
V: 0.0000 0.0000 0.7068
V: 0.0023 0.5012 0.3521
V: 0.3333 0.6667 0.6057
V: 0.4988 0.5012 0.3521
V: 0.4988 0.9977 0.3521
V: 0.5012 0.0023 0.8521
V: 0.5012 0.4988 0.8521
V: 0.6667 0.3333 0.1057
V: 0.9977 0.4988 0.8521
Pb: 0.3333 0.6667 0.0815
Pb: 0.6667 0.3333 0.5815
O: 0.1475 0.2950 0.6034
O: 0.1475 0.8525 0.6034
O: 0.1716 0.3432 0.2781
O: 0.1716 0.8284 0.2781
O: 0.1774 0.3549 0.9339
O: 0.1774 0.8226 0.9339
O: 0.2950 0.1475 0.1034
O: 0.3333 0.6667 0.4371
O: 0.3333 0.6667 0.7689
O: 0.3432 0.1716 0.7781
O: 0.3549 0.1774 0.4339
O: 0.6451 0.8226 0.9339
O: 0.6568 0.8284 0.2781
O: 0.6667 0.3333 0.2689
O: 0.6667 0.3333 0.9371
O: 0.7050 0.8525 0.6034
O: 0.8226 0.1774 0.4339
O: 0.8226 0.6451 0.4339
O: 0.8284 0.1716 0.7781
O: 0.8284 0.6568 0.7781
O: 0.8525 0.1475 0.1034
O: 0.8525 0.7050 0.1034

=====

Record 7
Compound: V4PbO8
Source: the Alexandria database
Functional: PBE+U
Structure: optimized geometry

Summary:
**Symmetry**: C2/m, No. 12
**E_tot**: -7.478 eV/atom

Lattice parameters (Å, degrees): 5.9305 5.9305 7.8104 123.30 123.30 62.14
Fractional positions:
V: 0.2479 0.7521 0.0000
V: 0.2654 0.2654 0.0372
V: 0.7346 0.7346 0.9628
V: 0.7521 0.2479 0.0000
Pb: 0.0000 0.0000 0.5000
O: 0.1617 0.1617 0.1768
O: 0.1637 0.6864 0.1731
O: 0.3136 0.8363 0.8269
O: 0.3332 0.3332 0.8400
O: 0.6668 0.6668 0.1600
O: 0.6864 0.1637 0.1731
O: 0.8363 0.3136 0.8269
O: 0.8383 0.8383 0.8232

=====

Record 8
Compound: V5Pb2O12
Source: the Alexandria database
Functional: PBE+U
Structure: optimized geometry

Summary:
**N(E_F)**: 0.00 states/eV per cell
**Symmetry**: P2/c, No. 13
**E_tot**: -7.326 eV/atom

Lattice parameters (Å, degrees): 8.4586 5.3758 12.0608 90.00 98.89 90.00
Fractional positions:
V: 0.0000 0.1031 0.2500
V: 0.0000 0.8969 0.7500
V: 0.1536 0.1204 0.9761
V: 0.1536 0.8796 0.4761
V: 0.4360 0.1043 0.3820
V: 0.4360 0.8957 0.8820
V: 0.5640 0.1043 0.1180
V: 0.5640 0.8957 0.6180
V: 0.8464 0.1204 0.5239
V: 0.8464 0.8796 0.0239
Pb: 0.2812 0.3531 0.6778
Pb: 0.2812 0.6469 0.1778
Pb: 0.7188 0.3531 0.8222
Pb: 0.7188 0.6469 0.3222
O: 0.0000 0.4115 0.2500
O: 0.0000 0.5885 0.7500
O: 0.0614 0.0253 0.6055
O: 0.0614 0.9747 0.1055
O: 0.1744 0.4250 0.9950
O: 0.1744 0.5750 0.4950
O: 0.2129 0.0166 0.8299
O: 0.2129 0.9834 0.3299
O: 0.3645 0.0382 0.5306
O: 0.3645 0.9618 0.0306
O: 0.4538 0.4107 0.3617
O: 0.4538 0.5893 0.8617
O: 0.5000 0.0617 0.7500
O: 0.5000 0.9383 0.2500
O: 0.5462 0.4107 0.1383
O: 0.5462 0.5893 0.6383
O: 0.6355 0.0382 0.9694
O: 0.6355 0.9618 0.4694
O: 0.7871 0.0166 0.6701
O: 0.7871 0.9834 0.1701
O: 0.8256 0.4250 0.5050
O: 0.8256 0.5750 0.0050
O: 0.9386 0.0253 0.8945
O: 0.9386 0.9747 0.3945

=====

Record 9
Compound: V3Pb5O12
Source: the Alexandria database
Functional: PBE+U
Structure: optimized geometry

Summary:
**N(E_F)**: 8.79 states/eV per cell
**Symmetry**: P6_3/m, No. 176
**E_tot**: -6.597 eV/atom

Lattice parameters (Å, degrees): 10.3911 10.3911 7.4290 90.00 90.00 120.00
Fractional positions:
V: 0.0199 0.6219 0.2500
V: 0.3781 0.3980 0.2500
V: 0.3980 0.0199 0.7500
V: 0.6020 0.9801 0.2500
V: 0.6219 0.6020 0.7500
V: 0.9801 0.3781 0.7500
Pb: 0.0127 0.2624 0.2500
Pb: 0.2497 0.9873 0.2500
Pb: 0.2624 0.2497 0.7500
Pb: 0.3333 0.6667 0.5112
Pb: 0.3333 0.6667 0.9888
Pb: 0.6667 0.3333 0.0112
Pb: 0.6667 0.3333 0.4888
Pb: 0.7376 0.7503 0.2500
Pb: 0.7503 0.0127 0.7500
Pb: 0.9873 0.7376 0.7500
O: 0.0849 0.7406 0.0634
O: 0.0849 0.7406 0.4366
O: 0.1101 0.5130 0.2500
O: 0.1764 0.4909 0.7500
O: 0.2594 0.3443 0.0634
O: 0.2594 0.3443 0.4366
O: 0.3146 0.8236 0.7500
O: 0.3443 0.0849 0.5634
O: 0.3443 0.0849 0.9366
O: 0.4030 0.8899 0.2500
O: 0.4870 0.5970 0.2500
O: 0.4909 0.3146 0.2500
O: 0.5091 0.6854 0.7500
O: 0.5130 0.4030 0.7500
O: 0.5970 0.1101 0.7500
O: 0.6557 0.9151 0.0634
O: 0.6557 0.9151 0.4366
O: 0.6854 0.1764 0.2500
O: 0.7406 0.6557 0.5634
O: 0.7406 0.6557 0.9366
O: 0.8236 0.5091 0.2500
O: 0.8899 0.4870 0.7500
O: 0.9151 0.2594 0.5634
O: 0.9151 0.2594 0.9366

=====

Record 10
Compound: V3Pb2O9
Source: the Alexandria database
Functional: PBE+U
Structure: optimized geometry

Summary:
**Relative energy among the computed polymorphs**: 0.1656 eV/atom
**Symmetry**: C2/m, No. 12

Lattice parameters (Å, degrees): 8.1889 8.1889 7.7770 103.27 103.27 117.73
Fractional positions:
V: 0.0516 0.2734 0.1988
V: 0.1822 0.1822 0.8544
V: 0.2734 0.0516 0.1988
V: 0.7266 0.9484 0.8012
V: 0.8178 0.8178 0.1456
V: 0.9484 0.7266 0.8012
Pb: 0.2668 0.5956 0.7236
Pb: 0.4044 0.7332 0.2764
Pb: 0.5956 0.2668 0.7236
Pb: 0.7332 0.4044 0.2764
O: 0.0892 0.9068 0.2800
O: 0.0932 0.9108 0.7200
O: 0.1151 0.5056 0.3565
O: 0.1905 0.3823 0.0357
O: 0.1919 0.8081 0.0000
O: 0.2775 0.2775 0.3142
O: 0.3107 0.3107 0.7343
O: 0.3823 0.1905 0.0357
O: 0.4944 0.8849 0.6435
O: 0.5056 0.1151 0.3565
O: 0.6177 0.8095 0.9643
O: 0.6893 0.6893 0.2657
O: 0.7225 0.7225 0.6858
O: 0.8081 0.1919 0.0000
O: 0.8095 0.6177 0.9643
O: 0.8849 0.4944 0.6435
O: 0.9068 0.0892 0.2800
O: 0.9108 0.0932 0.7200

=====

Record 11
Compound: V3PbO8
Source: the Alexandria database
Functional: PBE+U
Structure: optimized geometry

Summary:
**Symmetry**: Cm, No. 8
**E_tot**: -7.198 eV/atom

Lattice parameters (Å, degrees): 7.4805 7.4805 8.2413 118.37 118.37 28.82
Fractional positions:
V: 0.0000 0.0000 0.0000
V: 0.0788 0.0788 0.4427
V: 0.3128 0.3128 0.9027
Pb: 0.3481 0.3481 0.3958
O: 0.0483 0.0483 0.8602
O: 0.1050 0.1050 0.2412
O: 0.1938 0.1938 0.6544
O: 0.2873 0.2873 0.0817
O: 0.4656 0.4656 0.0039
O: 0.5648 0.5648 0.4231
O: 0.8456 0.8456 0.8695
O: 0.9459 0.9459 0.4224

=====

Record 12
Compound: VPbO2
Source: the Alexandria database
Functional: PBE+U
Structure: optimized geometry

Summary:
**N(E_F)**: 1.30 states/eV per cell
**Symmetry**: R-3m, No. 166
**E_tot**: -6.747 eV/atom

Lattice parameters (Å, degrees): 7.1605 7.1605 7.1605 25.63 25.63 25.63
Fractional positions:
V: 0.0000 0.0000 0.0000
Pb: 0.5000 0.5000 0.5000
O: 0.3817 0.3817 0.3817
O: 0.6183 0.6183 0.6183

=====

Respective volume values: 403.7, 182.6, 801.7, 112.2, 167.2, 410.2, 186.4, 541.8, 694.7, 413.6, 193.7, 60.5 Å³/cell.
Respective spin magnetization values: 2.00, 3.00, 4.00, 1.03, 1.00, 20.00, 6.00, 10.00, 2.00, 0.00, 1.00, 1.95 Bohr magnetons per cell.